Record 1
# PBE YFeTc2, relaxed
data_YFeTc2
_space_group_name_H-M_alt 'P 1'
_space_group_IT_number 1
_cell_length_a 4.479
_cell_length_b 4.479
_cell_length_c 4.479
_cell_angle_alpha 60.00
_cell_angle_beta 60.00
_cell_angle_gamma 60.00
loop_
_space_group_symop_operation_xyz
'x,y,z'
loop_
_atom_site_label
_atom_site_type_symbol
_atom_site_fract_x
_atom_site_fract_y
_atom_site_fract_z
_atom_site_occupancy
Y1 Y 0.500 0.500 0.500 1
Tc1 Tc 0.250 0.250 0.250 1
Tc2 Tc 0.750 0.750 0.750 1
Fe1 Fe 0.000 0.000 0.000 1
# Energy above the lowest structure with this stoichiometry = 38.1 kJ per mole of atoms
# Energy of formation from the pure elements = 0.539 eV per atom

---

Record 2
# PBE LaPm7Nd2, relaxed
data_LaPm7Nd2
_space_group_name_H-M_alt 'P 1'
_space_group_IT_number 1
_cell_length_a 5.643
_cell_length_b 9.376
_cell_length_c 9.376
_cell_angle_alpha 123.45
_cell_angle_beta 90.00
_cell_angle_gamma 90.00
loop_
_space_group_symop_operation_xyz
'x,y,z'
loop_
_atom_site_label
_atom_site_type_symbol
_atom_site_fract_x
_atom_site_fract_y
_atom_site_fract_z
_atom_site_occupancy
La1 La 0.000 0.000 0.000 1
Pm1 Pm 0.000 0.774 0.226 1
Pm2 Pm 0.000 0.226 0.774 1
Pm3 Pm 0.500 0.065 0.295 1
Pm4 Pm 0.500 0.935 0.705 1
Pm5 Pm 0.500 0.295 0.065 1
Pm6 Pm 0.500 0.705 0.935 1
Pm7 Pm 0.500 0.500 0.500 1
Nd1 Nd 0.500 0.703 0.297 1
Nd2 Nd 0.500 0.297 0.703 1
# Energy above the lowest structure with this stoichiometry = 58.3 kJ per mole of atoms
# Energy of formation from the pure elements = 0.620 eV per atom

---

Record 3
# PBE TmPuN2, relaxed
data_TmPuN2
_space_group_name_H-M_alt 'P 1'
_space_group_IT_number 1
_cell_length_a 3.368
_cell_length_b 3.368
_cell_length_c 6.243
_cell_angle_alpha 74.35
_cell_angle_beta 74.35
_cell_angle_gamma 60.00
loop_
_space_group_symop_operation_xyz
'x,y,z'
loop_
_atom_site_label
_atom_site_type_symbol
_atom_site_fract_x
_atom_site_fract_y
_atom_site_fract_z
_atom_site_occupancy
Tm1 Tm 0.670 0.670 0.989 1
Pu1 Pu 0.499 0.499 0.502 1
N1 N 0.078 0.078 0.765 1
N2 N 0.252 0.252 0.245 1
# Formation energy (no corrections) = -1.31 eV per atom

---

Record 4
# PBE Y2GaW4, relaxed
data_Y2GaW4
_space_group_name_H-M_alt 'P 1'
_space_group_IT_number 1
_cell_length_a 4.635
_cell_length_b 4.635
_cell_length_c 8.257
_cell_angle_alpha 73.70
_cell_angle_beta 73.70
_cell_angle_gamma 90.00
loop_
_space_group_symop_operation_xyz
'x,y,z'
loop_
_atom_site_label
_atom_site_type_symbol
_atom_site_fract_x
_atom_site_fract_y
_atom_site_fract_z
_atom_site_occupancy
Y1 Y 0.643 0.643 0.713 1
Y2 Y 0.357 0.357 0.287 1
Ga1 Ga 0.000 0.000 0.000 1
W1 W 0.845 0.845 0.309 1
W2 W 0.155 0.155 0.691 1
W3 W 0.000 0.500 0.000 1
W4 W 0.500 0.000 0.000 1
# Energy of formation from the pure elements = 1.664 eV per atom